{
  "formula": "HgRuPt",
  "functional": "PBE",
  "state": "relaxed",
  "cell": [[-1.074, -2.274, 3.617], [1.633, -4.043, 0.626], [3.012, -0.697, 3.139]],
  "species": ["Hg", "Pt", "Ru"],
  "frac_coords": [[0.500, 0.500, 0.500], [0.750, 0.750, 0.750], [0.000, 0.000, 0.000]],
  "delta_e_f_mev_per_atom": 591,
  "spacegroup": "No. 216",
  "volume_a3_per_fu": 60.5,
  "crystal_system": "cubic",
  "polymorph_energy_mev_per_atom": 313,
  "e_tot_ev_per_atom": -4.61
}